No. 1
Here is a relaxed structure of NdDySc from Alexandria via LeMat-Bulk. Energies are from PBE.

Lattice parameters (Å, degrees): 3.525 3.525 7.729 103.18 103.18 90.00
Element x y z (fractional)
Sc1 0.668 0.668 0.337
Nd1 0.005 0.005 0.010
Dy1 0.327 0.327 0.653

Summary:
For the offset from the most stable computed form, the calculation gives 18 meV per atom. For the electronic total energy, the calculation gives -15.5 eV per cell. Its total magnetization is 0.0 μB/cell. The value obtained for the formation energy from the elements is 0.053 eV per atom.


No. 2
Here is a relaxed structure of NdDySc3 from Alexandria via LeMat-Bulk. Energies are from PBE.

Lattice parameters (Å, degrees): 4.826 5.894 5.864 80.12 114.33 114.12
Element x y z (fractional)
Nd1 0.997 0.298 0.696
Dy1 0.403 0.897 0.909
Sc1 0.596 0.693 0.499
Sc2 0.200 0.097 0.303
Sc3 0.804 0.503 0.105

Summary:
For the offset from the most stable computed form, the calculation gives 18 meV per atom. For the electronic total energy, the calculation gives -28.1 eV per cell. Its total magnetization is 0.0 μB/cell. The value obtained for the formation energy from the elements is 0.062 eV per atom.


No. 3
Here is a relaxed structure of NdDy5Sc4 from Alexandria via LeMat-Bulk. Energies are from PBE.

Lattice parameters (Å, degrees): 6.181 7.608 7.608 80.50 66.03 66.03
Element x y z (fractional)
Nd1 0.223 0.000 0.000
Dy1 0.803 0.393 0.901
Dy2 0.196 0.901 0.607
Dy3 0.704 0.099 0.393
Dy4 0.097 0.607 0.099
Dy5 0.678 0.000 0.000
Sc1 0.395 0.416 0.698
Sc2 0.811 0.698 0.584
Sc3 0.094 0.302 0.416
Sc4 0.510 0.584 0.302

Summary:
For the offset from the most stable computed form, the calculation gives 53 meV per atom. For the electronic total energy, the calculation gives -49.7 eV per cell. Its total magnetization is 0.0 μB/cell. The value obtained for the formation energy from the elements is 0.336 eV per atom.


No. 4
Here is a relaxed structure of Nd2Dy4Sc from Alexandria via LeMat-Bulk. Energies are from PBE.

Lattice parameters (Å, degrees): 5.365 5.365 9.472 106.45 106.45 90.00
Element x y z (fractional)
Nd1 0.627 0.627 0.253
Nd2 0.373 0.373 0.747
Dy1 0.825 0.825 0.651
Dy2 0.175 0.175 0.349
Dy3 0.000 0.500 0.000
Dy4 0.500 0.000 0.000
Sc1 0.000 0.000 0.000

Summary:
For the offset from the most stable computed form, the calculation gives 365 meV per atom. For the electronic total energy, the calculation gives -30.4 eV per cell. Its total magnetization is 0.9 μB/cell. The value obtained for the formation energy from the elements is 0.556 eV per atom.


No. 5
Here is a relaxed structure of Nd2DySc8 from Alexandria via LeMat-Bulk. Energies are from PBE.

Lattice parameters (Å, degrees): 5.541 8.675 8.801 60.47 73.60 55.03
Element x y z (fractional)
Nd1 0.000 0.306 0.388
Nd2 0.000 0.694 0.612
Dy1 0.500 0.000 0.000
Sc1 0.816 0.096 0.234
Sc2 0.816 0.330 0.766
Sc3 0.290 0.445 0.000
Sc4 0.500 0.794 0.413
Sc5 0.500 0.206 0.587
Sc6 0.710 0.555 0.000
Sc7 0.184 0.670 0.234
Sc8 0.184 0.904 0.766

Summary:
For the electronic total energy, the calculation gives -63.1 eV per cell. Its total magnetization is 0.0 μB/cell. The value obtained for the formation energy from the elements is 0.155 eV per atom.


No. 6
Here is a relaxed structure of Nd12DySc3 from Alexandria via LeMat-Bulk. Energies are from PBE.

Lattice parameters (Å, degrees): 5.079 5.079 20.296 90.00 90.00 90.00
Element x y z (fractional)
Nd1 0.500 0.500 0.000
Nd2 0.500 0.500 0.252
Nd3 0.500 0.500 0.500
Nd4 0.500 0.500 0.748
Nd5 0.500 0.000 0.129
Nd6 0.500 0.000 0.376
Nd7 0.500 0.000 0.624
Nd8 0.500 0.000 0.871
Nd9 0.000 0.500 0.129
Nd10 0.000 0.500 0.376
Nd11 0.000 0.500 0.624
Nd12 0.000 0.500 0.871
Dy1 0.000 0.000 0.000
Sc1 0.000 0.000 0.252
Sc2 0.000 0.000 0.500
Sc3 0.000 0.000 0.748

Summary:
For the electronic total energy, the calculation gives -80.3 eV per cell. Its total magnetization is 0.0 μB/cell. The value obtained for the formation energy from the elements is 0.032 eV per atom.


> What is the total magnetization in the third record?

0.0 μB/cell


Copy entry 3 word for word.
Here is a relaxed structure of NdDy5Sc4 from Alexandria via LeMat-Bulk. Energies are from PBE.

Lattice parameters (Å, degrees): 6.181 7.608 7.608 80.50 66.03 66.03
Element x y z (fractional)
Nd1 0.223 0.000 0.000
Dy1 0.803 0.393 0.901
Dy2 0.196 0.901 0.607
Dy3 0.704 0.099 0.393
Dy4 0.097 0.607 0.099
Dy5 0.678 0.000 0.000
Sc1 0.395 0.416 0.698
Sc2 0.811 0.698 0.584
Sc3 0.094 0.302 0.416
Sc4 0.510 0.584 0.302

Summary:
For the offset from the most stable computed form, the calculation gives 53 meV per atom. For the electronic total energy, the calculation gives -49.7 eV per cell. Its total magnetization is 0.0 μB/cell. The value obtained for the formation energy from the elements is 0.336 eV per atom.


> Which value of total magnetization does entry 4 give?

0.9 μB/cell


> Among the records above, which one has the highest formation energy from the elements?

Nd2Dy4Sc